(1)
First-principles (GGA-PBEsol) data for crystalline Sr3InNiO6 at its relaxed geometry, as listed in Alexandria.

The value obtained for the formation energy (no corrections) is -2130 meV per atom. Its relative energy among the computed polymorphs is 0.0074 eV per atom. The calculation puts the total magnetic moment at 6.00 μB/cell. Its volume is 13.300 Å³/atom.

The space group is R-3c (No. 167, hexagonal axes) and the conventional cell measures 9.5536, 9.5536 and 11.1052 Å, with angles of 90.00, 90.00 and 120.00 degrees. The asymmetric unit holds Sr at (0.0000, 0.3707, 0.2500), In at (0.0000, 0.0000, 0.2500), Ni at (0.0000, 0.0000, 0.0000) and O at (0.0226, 0.1744, 0.3896).

***

(2)
First-principles (GGA-PBEsol) data for crystalline InNiOs3 at its relaxed geometry, as listed in Alexandria.

Its relative energy among the computed polymorphs is 1.6087 eV per atom. The calculation puts the total magnetic moment at 3.77 μB/cell. Its volume is 21.223 Å³/atom.

The space group is Pm-3m (No. 221) and the conventional cell measures 4.7343, 4.7343 and 4.7343 Å, with angles of 90.00, 90.00 and 90.00 degrees. The asymmetric unit holds In at (0.0000, 0.0000, 0.0000), Ni at (0.5000, 0.5000, 0.5000) and Os at (0.0000, 0.0000, 0.5000).

***

Going through the records in order, we get DFT total energy values of -6.33 -5.74 eV per atom.